(1)
Here is an optimized crystal structure of Ba3ScCd2O6 from Alexandria. Energies are from PBE.

```
data_Ba3ScCd2O6
_chemical_formula_sum 'Ba3 Sc1 Cd2 O6'
_space_group_name_H-M_alt 'P -3 m 1'
_space_group_IT_number 164
_space_group_name_Hall '-P 3 2"'
_cell_length_a 6.1690
_cell_length_b 6.1690
_cell_length_c 6.9434
_cell_angle_alpha 90.00
_cell_angle_beta 90.00
_cell_angle_gamma 120.00
loop_
_atom_site_label
_atom_site_type_symbol
_atom_site_fract_x
_atom_site_fract_y
_atom_site_fract_z
Ba1 Ba 0.0000 0.0000 0.0000
Ba2 Ba 0.3333 0.6667 0.6209
Sc1 Sc 0.0000 0.0000 0.5000
Cd1 Cd 0.3333 0.6667 0.1534
O1 O 0.1603 0.3205 0.3178
```

Values from the calculation:
* spin magnetization: 0.004 μB per cell
* raw total energy: -5.72 eV/atom
* calculated density: 5644 kg/m³
* E_form (uncorrected): -2.084 eV/atom

***

(2)
Here is an optimized crystal structure of BaCd2Se2O6 from Alexandria. Energies are from PBE.

```
data_BaCd2Se2O6
_chemical_formula_sum 'Ba1 Cd2 Se2 O6'
_space_group_name_H-M_alt 'P -1'
_space_group_IT_number 2
_space_group_name_Hall '-P 1'
_cell_length_a 5.9219
_cell_length_b 6.4418
_cell_length_c 6.4743
_cell_angle_alpha 100.58
_cell_angle_beta 109.89
_cell_angle_gamma 113.38
loop_
_atom_site_label
_atom_site_type_symbol
_atom_site_fract_x
_atom_site_fract_y
_atom_site_fract_z
Ba1 Ba 0.0000 0.0000 0.0000
Cd1 Cd 0.3757 0.6512 0.0974
Se1 Se 0.2469 0.6772 0.5324
O1 O 0.1007 0.7108 0.2309
O2 O 0.2521 0.9129 0.7152
O3 O 0.4885 0.6203 0.8109
```

Values from the calculation:
* spin magnetization: 0.000 μB per cell
* raw total energy: -4.78 eV/atom
* calculated density: 5163 kg/m³
* E_form (uncorrected): -1.106 eV/atom

***

(3)
Here is an optimized crystal structure of BaCdSe2O8 from Alexandria. Energies are from PBE.

```
data_BaCdSe2O8
_chemical_formula_sum 'Ba3 Cd3 Se6 O24'
_space_group_name_H-M_alt 'R -3'
_space_group_IT_number 148
_space_group_name_Hall '-R 3'
_cell_length_a 5.2447
_cell_length_b 5.2447
_cell_length_c 23.5343
_cell_angle_alpha 90.00
_cell_angle_beta 90.00
_cell_angle_gamma 120.00
loop_
_atom_site_label
_atom_site_type_symbol
_atom_site_fract_x
_atom_site_fract_y
_atom_site_fract_z
Ba1 Ba 0.0000 0.0000 0.0000
Cd1 Cd 0.0000 0.0000 0.5000
Se1 Se 0.0000 0.0000 0.2472
O1 O 0.0000 0.0000 0.3185
O2 O 0.0121 0.3124 0.7734
```

Values from the calculation:
* spin magnetization: 0.000 μB per cell
* raw total energy: -5.37 eV/atom
* calculated density: 4760 kg/m³
* E_form (uncorrected): -1.245 eV/atom

***

(4)
Here is an optimized crystal structure of BaCdSeO4 from Alexandria. Energies are from PBE.

```
data_BaCdSeO4
_chemical_formula_sum 'Ba4 Cd4 Se4 O16'
_space_group_name_H-M_alt 'F -4 3 m'
_space_group_IT_number 216
_space_group_name_Hall 'F -4 2 3'
_cell_length_a 9.1832
_cell_length_b 9.1832
_cell_length_c 9.1832
_cell_angle_alpha 90.00
_cell_angle_beta 90.00
_cell_angle_gamma 90.00
loop_
_atom_site_label
_atom_site_type_symbol
_atom_site_fract_x
_atom_site_fract_y
_atom_site_fract_z
Ba1 Ba 0.0000 0.0000 0.0000
Cd1 Cd 0.2500 0.2500 0.7500
Se1 Se 0.0000 0.0000 0.5000
O1 O 0.1146 0.1146 0.6146
```

Values from the calculation:
* spin magnetization: 0.000 μB per cell
* raw total energy: -4.61 eV/atom
* calculated density: 3368 kg/m³
* E_form (uncorrected): -0.870 eV/atom

***

(5)
Here is an optimized crystal structure of BaCdSiO4 from Alexandria. Energies are from PBE.

```
data_BaCdSiO4
_chemical_formula_sum 'Ba4 Cd4 Si4 O16'
_space_group_name_H-M_alt 'C m c m'
_space_group_IT_number 63
_space_group_name_Hall '-C 2c 2'
_cell_length_a 6.6577
_cell_length_b 9.9984
_cell_length_c 6.8773
_cell_angle_alpha 90.00
_cell_angle_beta 90.00
_cell_angle_gamma 90.00
loop_
_atom_site_label
_atom_site_type_symbol
_atom_site_fract_x
_atom_site_fract_y
_atom_site_fract_z
Ba1 Ba 0.0000 0.0000 0.0000
Cd1 Cd 0.0000 0.3441 0.2500
Si1 Si 0.0000 0.3624 0.7500
O1 O 0.0000 0.2660 0.5532
O2 O 0.1983 0.4643 0.7500
```

Values from the calculation:
* spin magnetization: 0.000 μB per cell
* raw total energy: -6.31 eV/atom
* calculated density: 4959 kg/m³
* E_form (uncorrected): -2.301 eV/atom

***

(6)
Here is an optimized crystal structure of BaCd2SiO4 from Alexandria. Energies are from PBE.

```
data_BaCd2SiO4
_chemical_formula_sum 'Ba4 Cd8 Si4 O16'
_space_group_name_H-M_alt 'F m m 2'
_space_group_IT_number 42
_space_group_name_Hall 'F 2 -2'
_cell_length_a 7.5085
_cell_length_b 7.5517
_cell_length_c 10.2597
_cell_angle_alpha 90.00
_cell_angle_beta 90.00
_cell_angle_gamma 90.00
loop_
_atom_site_label
_atom_site_type_symbol
_atom_site_fract_x
_atom_site_fract_y
_atom_site_fract_z
Ba1 Ba 0.0000 0.0000 0.0000
Cd1 Cd 0.2500 0.2500 0.2492
Si1 Si 0.0000 0.0000 0.4983
O1 O 0.0000 0.1785 0.5945
O2 O 0.1794 0.0000 0.4018
```

Values from the calculation:
* spin magnetization: 0.000 μB per cell
* raw total energy: -5.41 eV/atom
* calculated density: 5186 kg/m³
* E_form (uncorrected): -1.783 eV/atom

***

(7)
Here is an optimized crystal structure of Ba3CdSi2O8 from Alexandria. Energies are from PBE.

```
data_Ba3CdSi2O8
_chemical_formula_sum 'Ba3 Cd1 Si2 O8'
_space_group_name_H-M_alt 'P -3 m 1'
_space_group_IT_number 164
_space_group_name_Hall '-P 3 2"'
_cell_length_a 5.8174
_cell_length_b 5.8174
_cell_length_c 7.4825
_cell_angle_alpha 90.00
_cell_angle_beta 90.00
_cell_angle_gamma 120.00
loop_
_atom_site_label
_atom_site_type_symbol
_atom_site_fract_x
_atom_site_fract_y
_atom_site_fract_z
Ba1 Ba 0.0000 0.0000 0.0000
Ba2 Ba 0.3333 0.6667 0.6717
Cd1 Cd 0.0000 0.0000 0.5000
Si1 Si 0.3333 0.6667 0.2232
O1 O 0.1796 0.3593 0.3054
O2 O 0.3333 0.6667 0.0071
```

Values from the calculation:
* spin magnetization: 0.000 μB per cell
* raw total energy: -6.76 eV/atom
* calculated density: 5365 kg/m³
* E_form (uncorrected): -2.673 eV/atom

***

(8)
Here is an optimized crystal structure of Ba2CdSi2O6 from Alexandria. Energies are from PBE.

```
data_Ba2CdSi2O6
_chemical_formula_sum 'Ba6 Cd3 Si6 O18'
_space_group_name_H-M_alt 'R -3 m'
_space_group_IT_number 166
_space_group_name_Hall '-R 3 2"'
_cell_length_a 5.9011
_cell_length_b 5.9011
_cell_length_c 18.2742
_cell_angle_alpha 90.00
_cell_angle_beta 90.00
_cell_angle_gamma 120.00
loop_
_atom_site_label
_atom_site_type_symbol
_atom_site_fract_x
_atom_site_fract_y
_atom_site_fract_z
Ba1 Ba 0.0000 0.0000 0.2488
Cd1 Cd 0.0000 0.0000 0.5000
Si1 Si 0.0000 0.0000 0.0629
O1 O 0.0284 0.5142 0.7589
```

Values from the calculation:
* spin magnetization: 0.000 μB per cell
* raw total energy: -6.49 eV/atom
* calculated density: 4874 kg/m³
* E_form (uncorrected): -2.369 eV/atom